First-principles (PBE) data for an optimized crystal structure of Y2Si3Ni4Ir, as listed in Alexandria.

CIF file:
```
data_Y2Si3Ni4Ir
_chemical_formula_sum 'Y2 Si3 Ni4 Ir1'
_cell_length_a 3.9226
_cell_length_b 3.9226
_cell_length_c 9.9445
_cell_angle_alpha 90.00
_cell_angle_beta 90.00
_cell_angle_gamma 90.00
_space_group_name_H-M_alt 'P 1'
_space_group_IT_number 1
_space_group_name_Hall 'P 1'
loop_
_atom_site_label
_atom_site_type_symbol
_atom_site_fract_x
_atom_site_fract_y
_atom_site_fract_z
Y1 Y 0.5000 0.0000 0.2467
Y2 Y 0.0000 0.5000 0.7533
Si1 Si 0.0000 0.0000 0.5000
Si2 Si 0.5000 0.0000 0.8766
Si3 Si 0.0000 0.5000 0.1234
Ni1 Ni 0.5000 0.5000 0.0000
Ni2 Ni 0.0000 0.0000 0.0000
Ni3 Ni 0.5000 0.0000 0.6466
Ni4 Ni 0.0000 0.5000 0.3534
Ir1 Ir 0.5000 0.5000 0.5000
```

Results
The total energy comes out at -6.831 eV/atom. Its uncorrected formation energy is -0.712 eV per atom.